# 1
A plane-wave DFT calculation with PBE was carried out for crystalline ScHgGe2Te at its relaxed geometry.

Structure (CIF):
```
data_ScHgGe2Te
_cell_length_a 5.371
_cell_length_b 5.420
_cell_length_c 5.371
_cell_angle_alpha 90.00
_cell_angle_beta 90.00
_cell_angle_gamma 90.00
_symmetry_space_group_name_H-M 'P 1'
_symmetry_Int_Tables_number 1
loop_
_symmetry_equiv_pos_as_xyz
'x,y,z'
loop_
_atom_site_label
_atom_site_type_symbol
_atom_site_fract_x
_atom_site_fract_y
_atom_site_fract_z
Sc1 Sc 0.500 0.500 0.500
Ge1 Ge 0.000 0.000 0.500
Ge2 Ge 0.500 0.000 0.000
Te1 Te 0.000 0.000 0.000
Hg1 Hg 0.000 0.500 0.000
```

Calculated values
The calculation puts the formation energy from raw total energies at 788 meV per atom.


# 2
A plane-wave DFT calculation with PBE was carried out for crystalline TmScHgGe at its relaxed geometry.

Structure (CIF):
```
data_TmScHgGe
_cell_length_a 4.990
_cell_length_b 4.990
_cell_length_c 4.990
_cell_angle_alpha 60.00
_cell_angle_beta 60.00
_cell_angle_gamma 60.00
_symmetry_space_group_name_H-M 'P 1'
_symmetry_Int_Tables_number 1
loop_
_symmetry_equiv_pos_as_xyz
'x,y,z'
loop_
_atom_site_label
_atom_site_type_symbol
_atom_site_fract_x
_atom_site_fract_y
_atom_site_fract_z
Sc1 Sc 0.500 0.500 0.500
Ge1 Ge 0.250 0.250 0.250
Tm1 Tm 0.000 0.000 0.000
Hg1 Hg 0.750 0.750 0.750
```

Calculated values
The formation energy comes out at -0.50 eV/atom.


# 3
A plane-wave DFT calculation with PBE was carried out for crystalline Sc2VHgGe at its relaxed geometry.

Structure (CIF):
```
data_Sc2VHgGe
_cell_length_a 5.208
_cell_length_b 4.945
_cell_length_c 5.208
_cell_angle_alpha 90.00
_cell_angle_beta 90.00
_cell_angle_gamma 90.00
_symmetry_space_group_name_H-M 'P 1'
_symmetry_Int_Tables_number 1
loop_
_symmetry_equiv_pos_as_xyz
'x,y,z'
loop_
_atom_site_label
_atom_site_type_symbol
_atom_site_fract_x
_atom_site_fract_y
_atom_site_fract_z
Sc1 Sc 0.000 0.000 0.500
Sc2 Sc 0.500 0.000 0.000
Ge1 Ge 0.500 0.500 0.500
Hg1 Hg 0.000 0.000 0.000
V1 V 0.000 0.500 0.000
```

Calculated values
The formation energy comes out at 0.70 eV/atom.


# 4
A plane-wave DFT calculation with PBE was carried out for crystalline Zr2ScHgGe at its relaxed geometry.

Structure (CIF):
```
data_Zr2ScHgGe
_cell_length_a 5.044
_cell_length_b 4.962
_cell_length_c 5.044
_cell_angle_alpha 90.00
_cell_angle_beta 90.00
_cell_angle_gamma 90.00
_symmetry_space_group_name_H-M 'P 1'
_symmetry_Int_Tables_number 1
loop_
_symmetry_equiv_pos_as_xyz
'x,y,z'
loop_
_atom_site_label
_atom_site_type_symbol
_atom_site_fract_x
_atom_site_fract_y
_atom_site_fract_z
Sc1 Sc 0.000 0.500 0.000
Ge1 Ge 0.000 0.000 0.000
Hg1 Hg 0.500 0.500 0.500
Zr1 Zr 0.000 0.000 0.500
Zr2 Zr 0.500 0.000 0.000
```

Calculated values
The formation energy comes out at 0.05 eV/atom.


# 5
A plane-wave DFT calculation with PBE was carried out for crystalline HgGe2Se2 at its relaxed geometry.

Structure (CIF):
```
data_HgGe2Se2
_cell_length_a 4.914
_cell_length_b 4.914
_cell_length_c 6.479
_cell_angle_alpha 67.72
_cell_angle_beta 67.72
_cell_angle_gamma 90.00
_symmetry_space_group_name_H-M 'P 1'
_symmetry_Int_Tables_number 1
loop_
_symmetry_equiv_pos_as_xyz
'x,y,z'
loop_
_atom_site_label
_atom_site_type_symbol
_atom_site_fract_x
_atom_site_fract_y
_atom_site_fract_z
Ge1 Ge 0.355 0.355 0.290
Ge2 Ge 0.645 0.645 0.710
Hg1 Hg 0.000 0.000 0.000
Se1 Se 0.750 0.250 0.500
Se2 Se 0.250 0.750 0.500
```

Calculated values
The calculation puts the formation energy from raw total energies at -17 meV per atom. The value obtained for the energy above the lowest structure with this stoichiometry is 0.40 eV per formula unit.


# 6
A plane-wave DFT calculation with PBE was carried out for crystalline HgGeSe2 at its relaxed geometry.

Structure (CIF):
```
data_HgGeSe2
_cell_length_a 6.223
_cell_length_b 6.223
_cell_length_c 7.856
_cell_angle_alpha 66.67
_cell_angle_beta 66.67
_cell_angle_gamma 90.00
_symmetry_space_group_name_H-M 'P 1'
_symmetry_Int_Tables_number 1
loop_
_symmetry_equiv_pos_as_xyz
'x,y,z'
loop_
_atom_site_label
_atom_site_type_symbol
_atom_site_fract_x
_atom_site_fract_y
_atom_site_fract_z
Ge1 Ge 0.500 0.500 0.000
Ge2 Ge 0.250 0.750 0.500
Hg1 Hg 0.000 0.000 0.000
Hg2 Hg 0.750 0.250 0.500
Se1 Se 0.625 0.125 0.250
Se2 Se 0.125 0.625 0.250
Se3 Se 0.375 0.375 0.750
Se4 Se 0.875 0.875 0.750
```

Calculated values
The calculation puts the formation energy from raw total energies at -59 meV per atom.


# 7
A plane-wave DFT calculation with PBE was carried out for crystalline HgGeSe2 at its relaxed geometry.

Structure (CIF):
```
data_HgGeSe2
_cell_length_a 3.917
_cell_length_b 3.917
_cell_length_c 7.418
_cell_angle_alpha 74.69
_cell_angle_beta 74.69
_cell_angle_gamma 60.00
_symmetry_space_group_name_H-M 'P 1'
_symmetry_Int_Tables_number 1
loop_
_symmetry_equiv_pos_as_xyz
'x,y,z'
loop_
_atom_site_label
_atom_site_type_symbol
_atom_site_fract_x
_atom_site_fract_y
_atom_site_fract_z
Hg1 Hg 0.499 0.499 0.503
Ge1 Ge 0.668 0.668 0.995
Se1 Se 0.074 0.074 0.777
Se2 Se 0.258 0.258 0.225
```

Calculated values
The calculation puts the formation energy from raw total energies at -107 meV per atom.


# 8
A plane-wave DFT calculation with PBE was carried out for crystalline HgGe3Se3 at its relaxed geometry.

Structure (CIF):
```
data_HgGe3Se3
_cell_length_a 8.702
_cell_length_b 8.701
_cell_length_c 7.775
_cell_angle_alpha 55.94
_cell_angle_beta 55.97
_cell_angle_gamma 59.99
_symmetry_space_group_name_H-M 'P 1'
_symmetry_Int_Tables_number 1
loop_
_symmetry_equiv_pos_as_xyz
'x,y,z'
loop_
_atom_site_label
_atom_site_type_symbol
_atom_site_fract_x
_atom_site_fract_y
_atom_site_fract_z
Hg1 Hg 0.682 0.682 0.954
Hg2 Hg 0.318 0.318 0.046
Ge1 Ge 0.209 0.575 0.287
Ge2 Ge 0.929 0.209 0.286
Ge3 Ge 0.574 0.929 0.287
Ge4 Ge 0.426 0.071 0.713
Ge5 Ge 0.071 0.791 0.714
Ge6 Ge 0.791 0.425 0.713
Se1 Se 0.359 0.809 0.716
Se2 Se 0.809 0.116 0.716
Se3 Se 0.116 0.359 0.716
Se4 Se 0.884 0.641 0.284
Se5 Se 0.191 0.884 0.284
Se6 Se 0.641 0.191 0.284
```

Calculated values
The calculation puts the formation energy from raw total energies at -123 meV per atom.


# 9
A plane-wave DFT calculation with PBE was carried out for crystalline HgGe3Se at its relaxed geometry.

Structure (CIF):
```
data_HgGe3Se
_cell_length_a 5.210
_cell_length_b 5.210
_cell_length_c 5.210
_cell_angle_alpha 90.00
_cell_angle_beta 90.00
_cell_angle_gamma 90.00
_symmetry_space_group_name_H-M 'P 1'
_symmetry_Int_Tables_number 1
loop_
_symmetry_equiv_pos_as_xyz
'x,y,z'
loop_
_atom_site_label
_atom_site_type_symbol
_atom_site_fract_x
_atom_site_fract_y
_atom_site_fract_z
Ge1 Ge 0.000 0.500 0.000
Ge2 Ge 0.000 0.000 0.500
Ge3 Ge 0.500 0.000 0.000
Hg1 Hg 0.000 0.000 0.000
Se1 Se 0.500 0.500 0.500
```

Calculated values
The calculation puts the formation energy from raw total energies at 864 meV per atom. The value obtained for the energy above the lowest structure with this stoichiometry is 1.07 eV per formula unit.


# 10
A plane-wave DFT calculation with PBE was carried out for crystalline HgGeSe2 at its relaxed geometry.

Structure (CIF):
```
data_HgGeSe2
_cell_length_a 8.097
_cell_length_b 8.097
_cell_length_c 8.097
_cell_angle_alpha 31.10
_cell_angle_beta 31.10
_cell_angle_gamma 31.10
_symmetry_space_group_name_H-M 'P 1'
_symmetry_Int_Tables_number 1
loop_
_symmetry_equiv_pos_as_xyz
'x,y,z'
loop_
_atom_site_label
_atom_site_type_symbol
_atom_site_fract_x
_atom_site_fract_y
_atom_site_fract_z
Ge1 Ge 0.500 0.500 0.500
Hg1 Hg 0.000 0.000 0.000
Se1 Se 0.893 0.893 0.893
Se2 Se 0.107 0.107 0.107
```

Calculated values
The calculation puts the formation energy from raw total energies at -61 meV per atom.


# 11
A plane-wave DFT calculation with PBE was carried out for crystalline HgGeSe2 at its relaxed geometry.

Structure (CIF):
```
data_HgGeSe2
_cell_length_a 4.024
_cell_length_b 4.024
_cell_length_c 20.726
_cell_angle_alpha 90.00
_cell_angle_beta 90.00
_cell_angle_gamma 60.00
_symmetry_space_group_name_H-M 'P 1'
_symmetry_Int_Tables_number 1
loop_
_symmetry_equiv_pos_as_xyz
'x,y,z'
loop_
_atom_site_label
_atom_site_type_symbol
_atom_site_fract_x
_atom_site_fract_y
_atom_site_fract_z
Hg1 Hg 0.045 0.000 0.167
Hg2 Hg 0.955 0.045 0.833
Hg3 Hg 0.000 0.955 0.500
Ge1 Ge 0.000 0.136 0.000
Ge2 Ge 0.136 0.864 0.333
Ge3 Ge 0.864 0.000 0.667
Se1 Se 0.337 0.429 0.922
Se2 Se 0.234 0.337 0.589
Se3 Se 0.429 0.234 0.256
Se4 Se 0.766 0.571 0.411
Se5 Se 0.663 0.766 0.078
Se6 Se 0.571 0.663 0.744
```

Calculated values
The calculation puts the formation energy from raw total energies at -103 meV per atom.


# 12
A plane-wave DFT calculation with PBE was carried out for crystalline HgGe2Se2 at its relaxed geometry.

Structure (CIF):
```
data_HgGe2Se2
_cell_length_a 4.923
_cell_length_b 4.923
_cell_length_c 6.998
_cell_angle_alpha 69.41
_cell_angle_beta 69.41
_cell_angle_gamma 90.00
_symmetry_space_group_name_H-M 'P 1'
_symmetry_Int_Tables_number 1
loop_
_symmetry_equiv_pos_as_xyz
'x,y,z'
loop_
_atom_site_label
_atom_site_type_symbol
_atom_site_fract_x
_atom_site_fract_y
_atom_site_fract_z
Ge1 Ge 0.750 0.250 0.500
Ge2 Ge 0.250 0.750 0.500
Hg1 Hg 0.000 0.000 0.000
Se1 Se 0.345 0.345 0.309
Se2 Se 0.655 0.655 0.691
```

Calculated values
The calculation puts the formation energy from raw total energies at 36 meV per atom. The value obtained for the energy above the lowest structure with this stoichiometry is 0.66 eV per formula unit.


Asked for E_tot across the records above, the calculation gives -15.067 -17.736 -23.196 -28.097 -16.590 -24.245 -12.314 -50.936 -13.316 -12.133 -36.903 -16.328 eV per cell in order.